A relaxed structure of CdNiAu. Source: the Alexandria database, functional GGA-PBE.

Computed properties:
For the calculated formation energy, the calculation gives 0.01 eV per atom.

Cell lengths 2.9906, 3.6680, 8.9659 Å; angles 90.00, 90.00, 90.00 degrees
Space group Imm2 (No. 44)
Unique sites:
Cd (0.0000, 0.0000, 0.0000) [2 per cell]
Ni (0.0000, 0.0000, 0.6626) [2 per cell]
Au (0.0000, 0.0000, 0.3153) [2 per cell]

---

A relaxed structure of MgAgSe2. Source: the Alexandria database, functional GGA-PBE.

Computed properties:
The value obtained for the total energy is -3.260 eV per atom.

Cell lengths 3.8337, 3.8337, 24.1335 Å; angles 90.00, 90.00, 120.00 degrees
Space group R-3m (No. 166, hexagonal axes)
Unique sites:
Mg (0.0000, 0.0000, 0.0000) [3 per cell]
Ag (0.0000, 0.0000, 0.5000) [3 per cell]
Se (0.0000, 0.0000, 0.3977) [6 per cell]